No. 1
VASP calculation (PBE) on a relaxed structure of Dy2Si5Ru3.

abc: 5.607 8.240 8.240
angles: 94.90 70.09 70.09
Fractional positions:
Dy 0.267 0.868 0.597
Dy 0.233 0.403 0.132
Dy 0.733 0.132 0.403
Dy 0.767 0.597 0.868
Si 0.331 0.073 0.265
Si 0.169 0.735 0.927
Si 0.669 0.927 0.735
Si 0.831 0.265 0.073
Si 0.250 0.208 0.792
Si 0.750 0.792 0.208
Si 0.250 0.500 0.500
Si 0.750 0.500 0.500
Si 0.250 0.792 0.208
Si 0.750 0.208 0.792
Ru 0.092 0.261 0.554
Ru 0.408 0.446 0.739
Ru 0.908 0.739 0.446
Ru 0.592 0.554 0.261
Ru 0.250 0.000 0.000
Ru 0.750 0.000 0.000

- Calculated volume: 16.38 Å³/atom
- Raw formation energy: -0.851 eV/atom

***

No. 2
VASP calculation (PBE) on a relaxed structure of Dy3Si8Ru3.

abc: 4.138 7.800 8.424
angles: 62.87 75.78 74.62
Fractional positions:
Dy 0.294 0.756 0.655
Dy 0.706 0.244 0.345
Dy 0.000 0.000 0.000
Si 0.116 0.151 0.618
Si 0.884 0.849 0.382
Si 0.858 0.442 0.841
Si 0.142 0.558 0.159
Si 0.516 0.671 0.297
Si 0.484 0.329 0.703
Si 0.363 0.024 0.251
Si 0.637 0.976 0.749
Ru 0.000 0.500 0.500
Ru 0.674 0.657 0.994
Ru 0.326 0.343 0.006

- Calculated volume: 16.49 Å³/atom
- Raw formation energy: -0.668 eV/atom

***

No. 3
VASP calculation (PBE) on a relaxed structure of Dy2Si2SnRu5.

abc: 3.265 10.099 10.099
angles: 90.00 90.00 90.00
Fractional positions:
Dy 0.000 0.674 0.174
Dy 0.000 0.326 0.826
Dy 0.000 0.174 0.326
Dy 0.000 0.826 0.674
Si 0.000 0.125 0.625
Si 0.000 0.875 0.375
Si 0.000 0.625 0.875
Si 0.000 0.375 0.125
Sn 0.000 0.000 0.000
Sn 0.000 0.500 0.500
Ru 0.500 0.213 0.068
Ru 0.500 0.787 0.932
Ru 0.500 0.068 0.787
Ru 0.500 0.713 0.432
Ru 0.500 0.932 0.213
Ru 0.500 0.287 0.568
Ru 0.500 0.568 0.713
Ru 0.500 0.432 0.287
Ru 0.500 0.500 0.000
Ru 0.500 0.000 0.500

- Calculated volume: 16.65 Å³/atom
- Raw formation energy: -0.655 eV/atom

***

No. 4
VASP calculation (PBE) on a relaxed structure of DySi3TcRu.

abc: 5.509 7.665 6.656
angles: 125.16 90.00 90.00
Fractional positions:
Dy 0.750 0.253 0.506
Dy 0.250 0.747 0.494
Si 0.250 0.244 0.488
Si 0.000 0.250 0.000
Si 0.500 0.750 0.000
Si 0.500 0.250 0.000
Si 0.000 0.750 0.000
Si 0.750 0.756 0.512
Tc 0.250 0.448 0.896
Tc 0.750 0.552 0.104
Ru 0.250 0.043 0.086
Ru 0.750 0.957 0.914

- Calculated volume: 19.15 Å³/atom
- Raw formation energy: -0.378 eV/atom

***

No. 5
VASP calculation (PBE) on a relaxed structure of DyTiSi2Ru.

abc: 3.988 3.988 6.106
angles: 109.06 109.06 90.00
Fractional positions:
Dy 0.000 0.000 0.000
Ti 0.250 0.750 0.500
Si 0.611 0.611 0.221
Si 0.389 0.389 0.779
Ru 0.750 0.250 0.500

- Calculated volume: 17.23 Å³/atom
- Raw formation energy: -0.842 eV/atom

***

No. 6
VASP calculation (PBE) on a relaxed structure of Dy2ZnSi2Ru5.

abc: 3.277 9.907 9.907
angles: 90.00 90.00 90.00
Fractional positions:
Dy 0.000 0.672 0.172
Dy 0.000 0.328 0.828
Dy 0.000 0.172 0.328
Dy 0.000 0.828 0.672
Zn 0.000 0.000 0.000
Zn 0.000 0.500 0.500
Si 0.000 0.129 0.629
Si 0.000 0.871 0.371
Si 0.000 0.629 0.871
Si 0.000 0.371 0.129
Ru 0.500 0.207 0.069
Ru 0.500 0.793 0.931
Ru 0.500 0.069 0.793
Ru 0.500 0.707 0.431
Ru 0.500 0.931 0.207
Ru 0.500 0.293 0.569
Ru 0.500 0.569 0.707
Ru 0.500 0.431 0.293
Ru 0.500 0.500 0.000
Ru 0.500 0.000 0.500

- Calculated volume: 16.08 Å³/atom
- Raw formation energy: -0.526 eV/atom

***

No. 7
VASP calculation (PBE) on a relaxed structure of DyZn2SiRu2.

abc: 4.438 4.438 5.550
angles: 90.00 90.00 90.00
Fractional positions:
Dy 0.000 0.000 0.500
Zn 0.500 0.500 0.731
Zn 0.500 0.500 0.269
Si 0.000 0.000 0.000
Ru 0.500 0.000 0.000
Ru 0.000 0.500 0.000

- Calculated volume: 18.22 Å³/atom
- Raw formation energy: -0.230 eV/atom

***

No. 8
VASP calculation (PBE) on a relaxed structure of SmDyRu.

abc: 7.066 6.850 6.780
angles: 90.00 90.00 103.97
Fractional positions:
Dy 0.740 0.559 0.000
Dy 0.260 0.941 0.500
Dy 0.260 0.441 0.000
Dy 0.740 0.059 0.500
Sm 0.252 0.937 0.000
Sm 0.748 0.563 0.500
Sm 0.748 0.063 0.000
Sm 0.252 0.437 0.500
Ru 0.500 0.250 0.250
Ru 0.500 0.250 0.750
Ru 0.500 0.750 0.750
Ru 0.500 0.750 0.250

- Relative energy among the computed polymorphs: 0.15 eV per formula unit
- ΔE_f: -0.231 eV/atom
- Calculated volume: 26.54 Å³/atom

***

No. 9
VASP calculation (PBE) on a relaxed structure of Sm3DyRu.

abc: 5.473 5.473 5.473
angles: 90.00 90.00 90.00
Each line ends with the local moment (μB).
Fractional positions:
Ru 0.000 0.000 0.000  0.00
Sm 0.000 0.500 0.000  0.01
Sm 0.000 0.000 0.500  0.01
Sm 0.500 0.000 0.000  0.01
Dy 0.500 0.500 0.500  0.06

- Relative energy among the computed polymorphs: 0.77 eV per formula unit
- ΔE_f: 0.025 eV/atom
- Calculated volume: 32.79 Å³/atom

***

No. 10
VASP calculation (PBE) on a relaxed structure of SmDyRu2.

abc: 4.855 4.855 4.855
angles: 60.00 60.00 60.00
Fractional positions:
Ru 0.000 0.000 0.000
Ru 0.500 0.500 0.500
Sm 0.750 0.750 0.750
Dy 0.250 0.250 0.250

- ΔE_f: -0.235 eV/atom
- Calculated volume: 20.23 Å³/atom

***

No. 11
VASP calculation (PBE) on a relaxed structure of SmDy4Ru5.

abc: 3.415 3.415 17.030
angles: 90.00 90.00 90.00
Fractional positions:
Sm 0.000 0.000 0.000
Dy 0.000 0.000 0.202
Dy 0.000 0.000 0.401
Dy 0.000 0.000 0.599
Dy 0.000 0.000 0.798
Ru 0.500 0.500 0.103
Ru 0.500 0.500 0.302
Ru 0.500 0.500 0.500
Ru 0.500 0.500 0.698
Ru 0.500 0.500 0.897

- ΔE_f: -0.286 eV/atom
- Calculated volume: 19.86 Å³/atom

***

No. 12
VASP calculation (PBE) on a relaxed structure of SmDyRu.

abc: 4.822 4.822 4.822
angles: 60.00 60.00 60.00
Fractional positions:
Ru 0.250 0.250 0.250
Sm 0.500 0.500 0.500
Dy 0.000 0.000 0.000

- Relative energy among the computed polymorphs: 0.14 eV per formula unit
- ΔE_f: -0.235 eV/atom
- Calculated volume: 26.42 Å³/atom

***

No. 13
VASP calculation (PBE) on a relaxed structure of SmDyRu2.

abc: 3.433 3.433 6.871
angles: 90.00 90.00 90.00
Fractional positions:
Ru 0.000 0.000 0.755
Ru 0.000 0.000 0.245
Sm 0.500 0.500 0.500
Dy 0.500 0.500 0.000

- ΔE_f: -0.237 eV/atom
- Calculated volume: 20.24 Å³/atom

***

No. 14
VASP calculation (PBE) on a relaxed structure of SmDy2Ru.

abc: 3.437 3.437 9.021
angles: 90.00 90.00 90.00
Fractional positions:
Ru 0.500 0.500 0.000
Sm 0.500 0.500 0.500
Dy 0.000 0.000 0.818
Dy 0.000 0.000 0.182

- Relative energy among the computed polymorphs: 0.31 eV per formula unit
- ΔE_f: -0.217 eV/atom
- Calculated volume: 26.64 Å³/atom

***

No. 15
VASP calculation (PBE) on a relaxed structure of Sm3DyRu2.

abc: 4.309 8.410 10.512
angles: 68.06 78.17 75.15
Fractional positions:
Sm 0.053 0.114 0.781
Sm 0.947 0.886 0.219
Sm 0.667 0.693 0.973
Sm 0.333 0.307 0.027
Sm 0.789 0.828 0.595
Sm 0.211 0.172 0.405
Dy 0.428 0.479 0.665
Dy 0.572 0.521 0.335
Ru 0.862 0.437 0.840
Ru 0.138 0.563 0.160
Ru 0.617 0.181 0.585
Ru 0.383 0.819 0.415

- ΔE_f: -0.188 eV/atom
- Calculated volume: 28.25 Å³/atom

***

No. 16
VASP calculation (PBE) on a relaxed structure of Sm3Dy2Ru2.

abc: 3.931 6.357 8.573
angles: 112.04 90.00 108.01
Fractional positions:
Sm 0.500 0.000 0.000
Sm 0.620 0.240 0.428
Sm 0.380 0.760 0.572
Dy 0.832 0.663 0.186
Dy 0.168 0.337 0.814
Ru 0.818 0.636 0.778
Ru 0.182 0.364 0.222

- ΔE_f: -0.271 eV/atom
- Calculated volume: 26.74 Å³/atom

***

No. 17
VASP calculation (PBE) on a relaxed structure of SmDy2Ru.

abc: 3.916 6.347 9.181
angles: 90.00 90.00 107.97
Fractional positions:
Sm 0.424 0.849 0.250
Sm 0.576 0.151 0.750
Dy 0.144 0.289 0.431
Dy 0.856 0.711 0.569
Dy 0.856 0.711 0.931
Dy 0.144 0.289 0.069
Ru 0.755 0.511 0.250
Ru 0.245 0.489 0.750

- Relative energy among the computed polymorphs: 0.07 eV per formula unit
- ΔE_f: -0.278 eV/atom
- Calculated volume: 27.13 Å³/atom

***

No. 18
VASP calculation (PBE) on a relaxed structure of SmDy3Ru2.

abc: 4.787 8.344 10.732
angles: 49.68 77.11 73.33
Fractional positions:
Sm 0.437 0.435 0.690
Sm 0.563 0.565 0.310
Dy 0.064 0.057 0.814
Dy 0.936 0.943 0.186
Dy 0.689 0.687 0.935
Dy 0.311 0.313 0.065
Dy 0.812 0.815 0.561
Dy 0.188 0.185 0.439
Ru 0.875 0.374 0.877
Ru 0.125 0.626 0.123
Ru 0.627 0.120 0.626
Ru 0.373 0.880 0.374

- Relative energy among the computed polymorphs: 0.35 eV per formula unit
- ΔE_f: -0.260 eV/atom
- Calculated volume: 26.06 Å³/atom

***

No. 19
VASP calculation (PBE) on a relaxed structure of SmDyRu.

abc: 3.430 3.430 7.052
angles: 104.07 104.07 90.00
Fractional positions:
Ru 0.669 0.669 0.339
Sm 0.039 0.039 0.079
Dy 0.291 0.291 0.583

- Relative energy among the computed polymorphs: 0.01 eV per formula unit
- ΔE_f: -0.276 eV/atom
- Calculated volume: 25.96 Å³/atom

***

No. 20
VASP calculation (PBE) on a relaxed structure of SmDy2Ru2.

abc: 3.401 3.418 10.468
angles: 80.60 90.00 90.00
Fractional positions:
Sm 0.000 0.000 0.000
Dy 0.000 0.166 0.668
Dy 0.000 0.834 0.332
Ru 0.500 0.410 0.181
Ru 0.500 0.590 0.819

- Relative energy among the computed polymorphs: 0.00 eV per formula unit
- ΔE_f: -0.255 eV/atom
- Calculated volume: 24.01 Å³/atom